First-principles (GGA-PBE) data for CrFe2P after structural relaxation, as listed in Alexandria.

```
CrFe2P
1.0
2.6374 0.0000 0.0000
0.0000 2.6374 0.0000
0.0000 0.0000 6.1305
Cr Fe P
1 2 1
Direct
0.5000 0.5000 0.7500 Cr
0.0000 0.0000 0.0349 Fe
0.0000 0.0000 0.4651 Fe
0.5000 0.5000 0.2500 P
```

The size of the total moment is 0.294 μB/f.u. The raw total energy comes out at -8.13 eV per atom.